Ba2NO | PBE | optimized geometry

Output
Magnetization   1.0 μB/f.u.
Relative energy among the computed polymorphs   310 meV/atom

Structure (POSCAR):
```
Ba2NO
1.0
0.000 3.427 3.427
3.427 0.000 3.427
3.427 3.427 0.000
Ba N O
2 1 1
direct
0.250 0.250 0.250 Ba
0.750 0.750 0.750 Ba
0.000 0.000 0.000 N
0.500 0.500 0.500 O
```